No. 1
K3ZrSc | PBE-GGA | optimized geometry

## Properties
- E_tot (eV per cell) = -10.41
- spin magnetization (μB per cell) = 4.469
- crystal system = cubic
- calculated volume (Å³ per atom) = 58.183
- formation energy (eV per atom) = 1.552
- theoretical density (g cm⁻³) = 1.45
- energy relative to the lowest polymorph listed for this composition (kJ/mol of atoms) = 0.0

abc: 6.626 6.626 6.626
angles: 90.00 90.00 90.00
Atoms (fractional coordinates):
Sc1 0.500 0.500 0.500
K1 0.000 0.500 0.000
K2 0.000 0.000 0.500
K3 0.500 0.000 0.000
Zr1 0.000 0.000 0.000

***

No. 2
ZrSc2Al | PBE-GGA | optimized geometry

## Properties
- E_tot (eV per cell) = -25.45
- spin magnetization (μB per cell) = 0.000
- crystal system = trigonal
- calculated volume (Å³ per atom) = 22.132
- formation energy (eV per atom) = -0.124
- theoretical density (g cm⁻³) = 3.90

abc: 10.161 10.161 10.161
angles: 18.11 18.11 18.11
Atoms (fractional coordinates):
Sc1 0.003 0.003 0.003
Sc2 0.497 0.497 0.497
Al1 0.750 0.750 0.750
Zr1 0.250 0.250 0.250

***

No. 3
Tb2Pm3Er6Pb | PBE-GGA | optimized geometry

## Properties
- E_tot (eV per cell) = -55.24
- spin magnetization (μB per cell) = 0.001
- crystal system = monoclinic
- calculated volume (Å³ per atom) = 30.960
- formation energy (eV per atom) = -0.053
- theoretical density (g cm⁻³) = 8.78

abc: 6.114 6.114 11.656
angles: 95.04 95.04 119.99
Atoms (fractional coordinates):
Tb1 0.334 0.666 0.000
Tb2 0.666 0.334 0.000
Pm1 0.167 0.833 0.500
Pm2 0.833 0.167 0.500
Pm3 0.500 0.500 0.500
Er1 0.919 0.591 0.754
Er2 0.753 0.753 0.247
Er3 0.081 0.409 0.246
Er4 0.591 0.919 0.754
Er5 0.247 0.247 0.753
Er6 0.409 0.081 0.246
Pb1 0.000 0.000 0.000

***

No. 4
NbBr | PBE-GGA | optimized geometry

## Properties
- E_tot (eV per cell) = -90.40
- spin magnetization (μB per cell) = 0.000
- crystal system = tetragonal
- raw formation energy (eV per atom) = 0.22
- calculated volume (Å³ per atom) = 30.286
- theoretical density (g cm⁻³) = 4.74

abc: 12.001 12.001 3.365
angles: 90.00 90.00 90.00
Atoms (fractional coordinates):
Nb1 0.330 0.236 0.000
Nb2 0.670 0.764 0.000
Nb3 0.764 0.330 0.000
Nb4 0.236 0.670 0.000
Nb5 0.830 0.736 0.500
Nb6 0.170 0.264 0.500
Nb7 0.264 0.830 0.500
Nb8 0.736 0.170 0.500
Br1 0.439 0.792 0.000
Br2 0.561 0.208 0.000
Br3 0.208 0.439 0.000
Br4 0.792 0.561 0.000
Br5 0.939 0.292 0.500
Br6 0.061 0.708 0.500
Br7 0.708 0.939 0.500
Br8 0.292 0.061 0.500

***

No. 5
BeTlCd2 | PBE-GGA | optimized geometry

## Properties
- E_tot (eV per cell) = -6.44
- spin magnetization (μB per cell) = 0.000
- crystal system = monoclinic
- calculated volume (Å³ per atom) = 21.817
- formation energy (eV per atom) = 0.372
- theoretical density (g cm⁻³) = 8.34
- energy relative to the lowest polymorph listed for this composition (kJ/mol of atoms) = 8.0

abc: 3.917 3.120 7.202
angles: 82.53 90.00 90.00
Atoms (fractional coordinates):
Be1 0.500 0.518 0.829
Tl1 0.000 0.666 0.522
Cd1 0.000 0.986 0.932
Cd2 0.500 0.330 0.217